# 1
## AlCuSb3 (GGA-PBE)

Data for a relaxed AlCuSb3 crystal.

abc: 5.105 5.105 5.105
angles: 90.00 90.00 90.00
Fractional coordinates of all 5 atoms:
Sb  0.000  0.000  0.500
Sb  0.000  0.500  0.000
Sb  0.500  0.000  0.000
Al  0.500  0.500  0.500
Cu  0.000  0.000  0.000

Results
Electronic total energy   -3.482 eV per atom
Distance to the lowest polymorph of the same formula   0.0000 eV/atom
Uncorrected formation energy   559 meV per atom


# 2
## AlCu4Sb (GGA-PBE)

Data for a relaxed AlCu4Sb crystal.

abc: 5.012 5.012 5.012
angles: 60.00 60.00 60.00
Fractional coordinates of all 6 atoms:
Cu  0.626  0.123  0.626
Cu  0.626  0.626  0.123
Cu  0.123  0.626  0.626
Cu  0.626  0.626  0.626
Al  0.000  0.000  0.000
Sb  0.250  0.250  0.250

Results
Electronic total energy   -4.009 eV per atom
Uncorrected formation energy   32 meV per atom


# 3
## Al2Cu2Sb (GGA-PBE)

Data for a relaxed Al2Cu2Sb crystal.

abc: 3.872 3.872 6.284
angles: 72.06 72.06 90.00
Fractional coordinates of all 5 atoms:
Cu  0.608  0.608  0.783
Cu  0.392  0.392  0.217
Sb  0.000  0.000  0.000
Al  0.750  0.250  0.500
Al  0.250  0.750  0.500

Results
Electronic total energy   -3.952 eV per atom
Distance to the lowest polymorph of the same formula   0.0000 eV/atom
Uncorrected formation energy   8 meV per atom


# 4
## AlCuSb2 (GGA-PBE)

Data for a relaxed AlCuSb2 crystal.

abc: 3.847 3.042 8.152
angles: 108.92 90.00 90.00
Fractional coordinates of all 4 atoms:
Sb  0.000  0.810  0.983
Sb  0.000  0.690  0.517
Al  0.500  0.250  0.250
Cu  0.500  0.750  0.750

Results
Electronic total energy   -3.830 eV per atom
Distance to the lowest polymorph of the same formula   0.1554 eV/atom
Uncorrected formation energy   191 meV per atom


V per entry: 133.08; 89.00; 84.79; 90.23 Å³/cell
DOS at the Fermi energy per entry: 2.79; 2.45; 1.53; 1.54 states/eV/f.u.